Record 1
Entry from Alexandria: a geometry-optimized La3Mn structure (GGA-PBEsol).

Values from the calculation:
The formation energy is 0.2744 eV per atom.

abc: 3.719 5.578 10.898
angles: 90.00 90.00 90.00
Sites, in units of the cell vectors:
La 0.000 0.000 0.000
La 0.000 0.500 0.209
La 0.000 0.500 0.791
La 0.500 0.000 0.291
La 0.500 0.000 0.709
La 0.500 0.500 0.500
Mn 0.000 0.000 0.500
Mn 0.500 0.500 0.000



Record 2
Entry from Alexandria: a geometry-optimized BaWAu2 structure (GGA-PBEsol).

Values from the calculation:
For the energy above the most stable polymorph in this dataset, the calculation gives 0.0 meV/atom. The formation energy is 0.4935 eV per atom.

abc: 2.962 4.613 6.632
angles: 90.00 90.32 90.00
Sites, in units of the cell vectors:
Ba 0.000 0.000 0.000
W 0.991 0.500 0.392
Au 0.496 0.000 0.459
Au 0.496 0.500 0.736



Record 3
Entry from Alexandria: a geometry-optimized CaTiS2Cl structure (GGA-PBEsol).

Values from the calculation:
The uncorrected formation energy is -251.8 meV/atom.

abc: 5.102 5.102 4.900
angles: 90.00 90.00 90.00
Sites, in units of the cell vectors:
Ca 0.000 0.000 0.000
Ti 0.500 0.500 0.500
S 0.000 0.500 0.000
S 0.500 0.000 0.000
Cl 0.000 0.000 0.500



Record 4
Entry from Alexandria: a geometry-optimized SrIn2Fe structure (GGA-PBEsol).

Values from the calculation:
The formation energy is 0.3488 eV per atom.

abc: 6.151 9.664 3.141
angles: 90.00 90.00 90.00
Sites, in units of the cell vectors:
Sr 0.000 0.000 0.000
Sr 0.500 0.500 0.000
In 0.250 0.250 0.500
In 0.250 0.750 0.500
In 0.750 0.250 0.500
In 0.750 0.750 0.500
Fe 0.000 0.500 0.000
Fe 0.500 0.000 0.000